SrZnTeN2 at its PBEsol-relaxed geometry, computed with SCAN.

D(E_F)	0.246	states/eV per atom
formation energy (no corrections)	1.24	eV/atom
V	28.580	A^3/atom
crystal system	tetragonal

Unit cell a=4.662 b=4.662 c=6.576 alpha=90.00 beta=90.00 gamma=90.00
Each line ends with the local moment (μB).
Sites, in units of the cell vectors:
Te 0.000 0.000 0.500  0.07
N 0.000 0.500 0.000  1.45
Sr 0.000 0.000 0.000  0.05
Zn 0.500 0.500 0.500  0.00
N 0.500 0.000 0.000  1.45



Sr7TiN6 at its PBEsol-relaxed geometry, computed with SCAN.

D(E_F)	0.000	states/eV per atom
formation energy (no corrections)	-1.00	eV/atom
V	18.728	A^3/atom
crystal system	orthorhombic

Unit cell a=6.595 b=11.566 c=13.750 alpha=90.00 beta=90.00 gamma=90.00
Sites, in units of the cell vectors:
N 0.910 0.335 0.002
N 0.237 0.874 0.207
N 0.590 0.835 0.998
Sr 0.110 0.794 0.620
Sr 0.390 0.294 0.380
Ti 0.061 0.000 0.250
N 0.590 0.165 0.502
N 0.611 0.557 0.853
N 0.263 0.626 0.707
N 0.763 0.126 0.793
Sr 0.163 0.767 0.373
N 0.410 0.165 0.002
Sr 0.610 0.294 0.880
Sr 0.235 0.463 0.978
Sr 0.837 0.767 0.873
Sr 0.735 0.037 0.978
Sr 0.663 0.733 0.373
N 0.090 0.665 0.998
N 0.111 0.057 0.647
N 0.889 0.943 0.353
N 0.737 0.626 0.207
Sr 0.265 0.037 0.478
Sr 0.610 0.706 0.620
Sr 0.663 0.267 0.127
Sr 0.890 0.206 0.380
Sr 0.735 0.963 0.522
Ti 0.939 0.000 0.750
Ti 0.439 0.500 0.750
Sr 0.235 0.537 0.522
N 0.910 0.665 0.498
Sr 0.055 0.500 0.250
Sr 0.765 0.537 0.022
N 0.389 0.443 0.147
Sr 0.337 0.733 0.873
N 0.263 0.374 0.793
N 0.237 0.126 0.293
N 0.389 0.557 0.353
N 0.111 0.943 0.853
Sr 0.445 0.000 0.750
N 0.737 0.374 0.293
Sr 0.890 0.794 0.120
Sr 0.390 0.706 0.120
N 0.889 0.057 0.147
Sr 0.337 0.267 0.627
Sr 0.110 0.206 0.880
Ti 0.561 0.500 0.250
Sr 0.163 0.233 0.127
Sr 0.265 0.963 0.022
N 0.090 0.335 0.502
N 0.763 0.874 0.707
Sr 0.837 0.233 0.627
N 0.611 0.443 0.647
Sr 0.945 0.500 0.750
Sr 0.555 0.000 0.250
Sr 0.765 0.463 0.478
N 0.410 0.835 0.498



SrTiN3 at its PBEsol-relaxed geometry, computed with SCAN.

D(E_F)	0.243	states/eV per atom
formation energy (no corrections)	-0.63	eV/atom
V	12.880	A^3/atom
crystal system	cubic

Unit cell a=4.008 b=4.008 c=4.008 alpha=90.00 beta=90.00 gamma=90.00
Each line ends with the local moment (μB).
Sites, in units of the cell vectors:
Sr 0.500 0.500 0.500  0.00
N 0.500 0.000 0.000  0.81
N 0.000 0.000 0.500  0.81
Ti 0.000 0.000 0.000  -0.29
N 0.000 0.500 0.000  0.81